# PBE-GGA LiThScGa, relaxed
# * energy of formation from the pure elements: -0.8 eV/f.u.
data_LiThScGa
_cell_length_a 7.1035
_cell_length_b 7.1035
_cell_length_c 7.1035
_cell_angle_alpha 90.00
_cell_angle_beta 90.00
_cell_angle_gamma 90.00
_symmetry_space_group_name_H-M 'F -4 3 m'
_symmetry_Int_Tables_number 216
_symmetry_space_group_name_Hall 'F -4 2 3'
loop_
_atom_site_label
_atom_site_type_symbol
_atom_site_fract_x
_atom_site_fract_y
_atom_site_fract_z
_atom_site_occupancy
Li1 Li 0.0000 0.0000 0.0000 1
Th1 Th 0.2500 0.2500 0.2500 1
Sc1 Sc 0.2500 0.2500 0.7500 1
Ga1 Ga 0.0000 0.0000 0.5000 1

***

# PBE-GGA YBePt3, relaxed
# * E above lowest polymorph: 206 meV per atom
# * energy of formation from the pure elements: -3.8 eV/f.u.
data_YBePt3
_cell_length_a 12.8911
_cell_length_b 8.1997
_cell_length_c 6.8902
_cell_angle_alpha 90.00
_cell_angle_beta 107.63
_cell_angle_gamma 90.00
_symmetry_space_group_name_H-M 'C 1 2/c 1'
_symmetry_Int_Tables_number 15
loop_
_symmetry_equiv_pos_as_xyz
'x,y,z'
'-x,-y,-z'
'-x,y,-z+1/2'
'x,-y,z+1/2'
'x+1/2,y+1/2,z'
'-x+1/2,-y+1/2,-z'
'-x+1/2,y+1/2,-z+1/2'
'x+1/2,-y+1/2,z+1/2'
loop_
_atom_site_label
_atom_site_type_symbol
_atom_site_fract_x
_atom_site_fract_y
_atom_site_fract_z
_atom_site_occupancy
Y1 Y 0.0000 0.0505 0.2500 1
Y2 Y 0.0000 0.3963 0.7500 1
Be1 Be 0.1662 0.3080 0.3362 1
Pt1 Pt 0.1506 0.1673 0.6172 1
Pt2 Pt 0.1577 0.1714 0.0479 1
Pt3 Pt 0.1878 0.4902 0.5976 1

***

Copy entry 2 word for word.
# PBE-GGA YBePt3, relaxed
# * E above lowest polymorph: 206 meV per atom
# * energy of formation from the pure elements: -3.8 eV/f.u.
data_YBePt3
_cell_length_a 12.8911
_cell_length_b 8.1997
_cell_length_c 6.8902
_cell_angle_alpha 90.00
_cell_angle_beta 107.63
_cell_angle_gamma 90.00
_symmetry_space_group_name_H-M 'C 1 2/c 1'
_symmetry_Int_Tables_number 15
loop_
_symmetry_equiv_pos_as_xyz
'x,y,z'
'-x,-y,-z'
'-x,y,-z+1/2'
'x,-y,z+1/2'
'x+1/2,y+1/2,z'
'-x+1/2,-y+1/2,-z'
'-x+1/2,y+1/2,-z+1/2'
'x+1/2,-y+1/2,z+1/2'
loop_
_atom_site_label
_atom_site_type_symbol
_atom_site_fract_x
_atom_site_fract_y
_atom_site_fract_z
_atom_site_occupancy
Y1 Y 0.0000 0.0505 0.2500 1
Y2 Y 0.0000 0.3963 0.7500 1
Be1 Be 0.1662 0.3080 0.3362 1
Pt1 Pt 0.1506 0.1673 0.6172 1
Pt2 Pt 0.1577 0.1714 0.0479 1
Pt3 Pt 0.1878 0.4902 0.5976 1